[1]
16
Lattice="7.480 0.066 0.000 -2.559 7.026 0.000 0.000 0.000 8.646" Properties=species:S:1:pos:R:3 comment="PBE-GGA La3TbAs4, relaxed" rho_g_cm3=6.38 delta_e_f_ev_per_atom=-1.55 dft_energy_ev_per_atom=-6.31 volume_a3_per_atom=28.49 pbc="T T T"
La 4.330 3.563 1.071
La 1.870 0.017 5.419
La 0.590 3.530 3.225
La 5.610 0.050 3.227
La 0.590 3.530 7.575
La 4.330 3.563 5.421
As 3.126 1.729 7.606
As 1.795 5.364 1.040
As 3.074 1.764 3.204
As 5.535 5.397 7.606
As -1.893 5.296 3.204
As -0.614 1.695 1.040
As 6.814 1.797 5.442
As 1.847 5.329 5.442
Tb 5.610 0.050 7.578
Tb 1.870 0.017 1.068

=====

[2]
10
Lattice="-2.771 -2.196 2.250 -4.500 -3.161 -4.724 3.138 -8.789 -0.808" Properties=species:S:1:pos:R:3 comment="PBE-GGA LaTb4As5, relaxed" rho_g_cm3=7.35 delta_e_f_ev_per_atom=-1.54 dft_energy_ev_per_atom=-6.21 volume_a3_per_atom=25.98 pbc="T T T"
As -4.441 -4.411 -1.967
As -0.681 -5.975 -2.766
As 0.308 -9.735 -1.314
As -2.443 -9.388 -4.364
As -1.689 -4.758 1.082
La 0.000 0.000 0.000
Tb -2.440 -10.665 -1.704
Tb -1.693 -3.480 -1.578
Tb -3.442 -6.917 -3.182
Tb -0.691 -7.229 -0.099

=====

[3]
12
Lattice="0.089 7.295 1.795 -3.492 1.005 6.578 3.900 -0.335 6.414" Properties=species:S:1:pos:R:3 comment="PBE-GGA La5TbAs6, relaxed" rho_g_cm3=6.25 delta_e_f_ev_per_atom=-1.56 dft_energy_ev_per_atom=-6.32 volume_a3_per_atom=28.86 pbc="T T T"
La -1.702 4.150 4.187
La -1.556 4.373 8.523
La 0.132 0.224 4.328
La 0.276 0.446 8.663
La 2.052 3.593 6.265
As -0.832 2.044 2.050
As 1.266 5.689 8.360
As -0.769 2.277 6.427
As -2.572 6.257 6.323
As 1.056 5.476 3.988
As -0.559 2.490 10.799
Tb 0.000 0.000 0.000

=====

[4]
16
Lattice="7.444 0.000 4.264 2.501 7.011 4.264 0.030 0.021 8.577" Properties=species:S:1:pos:R:3 comment="PBE-GGA La5Tb3As8, relaxed" rho_g_cm3=6.59 delta_e_f_ev_per_atom=-1.55 dft_energy_ev_per_atom=-6.28 volume_a3_per_atom=27.89 pbc="T T T"
As 2.509 1.769 8.494
As 2.455 1.731 4.344
As 3.780 5.332 10.661
As 3.683 5.264 6.444
As 7.466 5.264 8.611
As 6.292 1.769 10.661
As 7.520 5.302 12.761
As 6.195 1.700 6.444
La 0.000 0.000 0.000
La 4.972 3.506 4.264
La 1.250 3.506 2.132
La 3.722 0.000 2.132
La 4.988 3.516 8.553
Tb 1.266 3.516 6.421
Tb 3.737 0.011 6.421
Tb 0.015 0.011 4.289

=====

[5]
10
Lattice="5.520 0.000 2.663 2.760 6.846 1.331 -0.214 0.000 7.498" Properties=species:S:1:pos:R:3 comment="PBE-GGA La4TbAs5, relaxed" rho_g_cm3=6.30 delta_e_f_ev_per_atom=-1.56 dft_energy_ev_per_atom=-6.32 volume_a3_per_atom=28.73 pbc="T T T"
La 1.582 1.375 3.787
La 3.149 2.723 7.593
La 6.495 5.471 7.710
La 4.928 4.123 3.903
As 2.183 4.167 2.541
As 5.894 2.679 8.956
As 4.362 1.340 5.078
As 2.767 0.000 1.335
As 3.715 5.506 6.418
Tb 0.006 0.000 0.003

=====

[6]
7
Lattice="-4.819 1.587 1.646 -2.252 -3.958 -2.777 4.132 -3.658 6.985" Properties=species:S:1:pos:R:3 comment="PBE-GGA La2TbTe2As2, relaxed" rho_g_cm3=6.09 dft_energy_ev_per_atom=-5.46 raw_formation_energy_ev_per_atom=-1.163 volume_a3_per_atom=32.77 pbc="T T T"
Tb 0.000 0.000 0.000
Te -3.164 -4.202 3.431
Te 0.225 -1.828 2.422
La -3.396 -2.315 0.931
La 0.458 -3.714 4.922
As -1.126 -1.979 -1.389
As -2.410 0.793 0.823